[1]
Here is crystalline TcRu at its relaxed geometry from Alexandria via LeMat-Bulk. Energies are from PBE-GGA.

Lattice parameters (Å, degrees): 3.077 3.077 3.077 90.00 90.00 90.00
Positions (direct):
Tc: 0.500 0.500 0.500
Ru: 0.000 0.000 0.000

Summary:
- SG = Pm-3m (221)
- DOS(E_F) (states/eV/atom) = 1.775
- E_tot (eV per formula unit) = -18.68
- E_form (eV/atom) = 0.48

=====

[2]
Here is crystalline CaNd2 at its relaxed geometry from Alexandria via LeMat-Bulk. Energies are from PBE-GGA.

Lattice parameters (Å, degrees): 6.913 6.913 6.913 60.00 60.00 60.00
Positions (direct):
Nd: 0.625 0.125 0.625
Nd: 0.625 0.625 0.625
Nd: 0.625 0.625 0.125
Nd: 0.125 0.625 0.625
Ca: 0.000 0.000 0.000
Ca: 0.250 0.250 0.250

Summary:
- SG = Fd-3m (227)
- DOS(E_F) (states/eV/atom) = 1.616
- E_tot (eV per formula unit) = -11.05
- E_form (eV/atom) = 0.16

=====

[3]
Here is crystalline SrPOs at its relaxed geometry from Alexandria via LeMat-Bulk. Energies are from PBE-GGA.

Lattice parameters (Å, degrees): 4.772 4.772 4.772 60.00 60.00 60.00
Positions (direct):
Sr: 0.750 0.750 0.750
Os: 0.000 0.000 0.000
P: 0.500 0.500 0.500

Summary:
- SG = F-43m (216)
- DOS(E_F) (states/eV/atom) = 2.754
- E_tot (eV per formula unit) = -13.34
- E_form (eV/atom) = 1.66

=====

Number 1: total magnetization 0.014 μB/f.u.. Number 2: total magnetization 0.000 μB/f.u.. Number 3: total magnetization 1.418 μB/f.u..